No. 1
Entry from Alexandria: a geometry-optimized SmPH structure (PBE-GGA).

Cell: 3.7989 3.7989 4.0978 Å, 90.00 90.00 120.00°
Closest atoms and distances in Å follow each position.
Space group P-6m2 (No. 187)
One atom of each set of equivalent atoms:
Sm 0.0000 0.0000 0.0000 [1 per cell]  3 H 2.19
P 0.3333 0.6667 0.5000 [1 per cell]  6 Sm 3.00, 6 H 3.00
H 0.6667 0.3333 0.0000 [1 per cell]  3 Sm 2.19

Output
E_tot in eV per atom: -5.181


No. 2
Entry from Alexandria: a geometry-optimized TaAs2Ir structure (PBE-GGA).

Cell: 8.8683 3.4681 4.4824 Å, 90.00 106.94 90.00°
Closest atoms and distances in Å follow each position.
Space group Cm (No. 8)
One atom of each set of equivalent atoms:
Ta 0.0000 0.0000 0.0000 [2 per cell]  5 As 2.54-2.80
As 0.0085 0.5000 0.5143 [2 per cell]  3 Ir 2.61-2.67, 4 Ta 2.80-2.87
As 0.2657 0.0000 0.8899 [2 per cell]  3 Ta 2.54-2.64, 2 Ir 2.72
Ir 0.2789 0.5000 0.3636 [2 per cell]  5 As 2.61-2.72, 1 Ta 2.89

Output
Formation energy from the elements in eV/atom: -0.161


No. 3
Entry from Alexandria: a geometry-optimized KAgRhCl6 structure (PBE-GGA).

Cell: 6.6609 6.6609 6.7258 Å, 90.00 90.00 120.00°
Closest atoms and distances in Å follow each position.
Space group P312 (No. 149)
One atom of each set of equivalent atoms:
K 0.0000 0.0000 0.0000 [1 per cell]  6 Cl 3.17
Ag 0.3333 0.6667 0.5000 [1 per cell]  6 Cl 2.68
Rh 0.6667 0.3333 0.5000 [1 per cell]  6 Cl 2.35
Cl 0.3852 0.0369 0.7011 [6 per cell]  1 Rh 2.35

Output
E_form (uncorrected) in meV/atom: -816